Entry 1:
# RbNb4Cl7 | Alexandria | PBE-GGA | optimized geometry
# **Total magnetization**: 4.06 μB/cell
# **Formation energy without anion corrections**: -76 kJ/mol of atoms
# **D(E_F)**: 3.050 states/eV/f.u.
# **Mass density**: 4.06 g cm⁻³
data_RbNb4Cl7
_chemical_formula_sum 'Rb2 Nb8 Cl14'
_symmetry_space_group_name_H-M 'P m n 21'
_symmetry_Int_Tables_number 31
_symmetry_space_group_name_Hall 'P 2ac -2'
_cell_length_a 16.089
_cell_length_b 6.101
_cell_length_c 5.882
_cell_angle_alpha 90.00
_cell_angle_beta 90.00
_cell_angle_gamma 90.00
loop_
_atom_site_label
_atom_site_type_symbol
_atom_site_fract_x
_atom_site_fract_y
_atom_site_fract_z
Rb1 Rb 0.000 0.197 0.000
Nb1 Nb 0.155 0.724 0.646
Nb2 Nb 0.239 0.394 0.578
Cl1 Cl 0.000 0.628 0.544
Cl2 Cl 0.103 0.679 0.035
Cl3 Cl 0.125 0.124 0.477
Cl4 Cl 0.209 0.206 0.961

Entry 2:
# Rb3NbCl7 | Alexandria | PBE-GGA | optimized geometry
# **Total magnetization**: 2.00 μB/cell
# **Formation energy without anion corrections**: -152 kJ/mol of atoms
# **D(E_F)**: 5.905 states/eV/f.u.
# **Mass density**: 2.69 g cm⁻³
data_Rb3NbCl7
_chemical_formula_sum 'Rb6 Nb2 Cl14'
_symmetry_space_group_name_H-M 'C 1 m 1'
_symmetry_Int_Tables_number 8
_symmetry_space_group_name_Hall 'C -2y'
_cell_length_a 10.913
_cell_length_b 10.451
_cell_length_c 8.115
_cell_angle_alpha 90.00
_cell_angle_beta 127.19
_cell_angle_gamma 90.00
loop_
_atom_site_label
_atom_site_type_symbol
_atom_site_fract_x
_atom_site_fract_y
_atom_site_fract_z
Rb1 Rb 0.000 0.000 0.000
Rb2 Rb 0.004 0.267 0.567
Nb1 Nb 0.046 0.500 0.118
Cl1 Cl 0.114 0.272 0.254
Cl2 Cl 0.200 0.500 0.989
Cl3 Cl 0.317 0.500 0.498
Cl4 Cl 0.356 0.146 0.815
Cl5 Cl 0.378 0.000 0.228

Entry 3:
# RbNb2Cl | Alexandria | PBE-GGA | optimized geometry
# **Total magnetization**: 0.00 μB/cell
# **Formation energy without anion corrections**: 63 kJ/mol of atoms
# **D(E_F)**: 4.808 states/eV/f.u.
# **Mass density**: 4.34 g cm⁻³
data_RbNb2Cl
_chemical_formula_sum 'Rb4 Nb8 Cl4'
_symmetry_space_group_name_H-M 'I -4 2 d'
_symmetry_Int_Tables_number 122
_symmetry_space_group_name_Hall 'I -4 2bw'
_cell_length_a 3.965
_cell_length_b 3.965
_cell_length_c 29.837
_cell_angle_alpha 90.00
_cell_angle_beta 90.00
_cell_angle_gamma 90.00
loop_
_atom_site_label
_atom_site_type_symbol
_atom_site_fract_x
_atom_site_fract_y
_atom_site_fract_z
Rb1 Rb 0.000 0.000 0.000
Nb1 Nb 0.248 0.750 0.125
Cl1 Cl 0.000 0.000 0.500

Entry 4:
# RbNb3Cl | Alexandria | PBE-GGA | optimized geometry
# **Total magnetization**: 0.00 μB/cell
# **Formation energy without anion corrections**: 286 kJ/mol of atoms
# **D(E_F)**: 7.359 states/eV/f.u.
# **Mass density**: 5.56 g cm⁻³
data_RbNb3Cl
_chemical_formula_sum 'Rb1 Nb3 Cl1'
_symmetry_space_group_name_H-M 'P m -3 m'
_symmetry_Int_Tables_number 221
_symmetry_space_group_name_Hall '-P 4 2 3'
_cell_length_a 4.924
_cell_length_b 4.924
_cell_length_c 4.924
_cell_angle_alpha 90.00
_cell_angle_beta 90.00
_cell_angle_gamma 90.00
loop_
_atom_site_label
_atom_site_type_symbol
_atom_site_fract_x
_atom_site_fract_y
_atom_site_fract_z
Rb1 Rb 0.000 0.000 0.000
Nb1 Nb 0.000 0.000 0.500
Cl1 Cl 0.500 0.500 0.500

Entry 5:
# Rb3Nb2Cl9 | Alexandria | PBE-GGA | optimized geometry
# **Total magnetization**: 4.01 μB/cell
# **Formation energy without anion corrections**: -153 kJ/mol of atoms
# **Mass density**: 2.99 g cm⁻³
data_Rb3Nb2Cl9
_chemical_formula_sum 'Rb6 Nb4 Cl18'
_symmetry_space_group_name_H-M 'P 63/m m c'
_symmetry_Int_Tables_number 194
_symmetry_space_group_name_Hall '-P 6c 2c'
_cell_length_a 7.4710
_cell_length_b 7.4710
_cell_length_c 17.4859
_cell_angle_alpha 90.00
_cell_angle_beta 90.00
_cell_angle_gamma 120.00
loop_
_atom_site_label
_atom_site_type_symbol
_atom_site_fract_x
_atom_site_fract_y
_atom_site_fract_z
Rb1 Rb 0.0000 0.0000 0.2500
Rb2 Rb 0.3333 0.6667 0.0686
Nb1 Nb 0.3333 0.6667 0.6737
Cl1 Cl 0.0049 0.5024 0.2500
Cl2 Cl 0.1757 0.3514 0.5954

Entry 6:
# Rb3NbCl | Alexandria | PBE-GGA | optimized geometry
# **Total magnetization**: 5.00 μB/cell
# **Formation energy without anion corrections**: 22 kJ/mol of atoms
# **D(E_F)**: 3.067 states/eV/f.u.
# **Mass density**: 2.50 g cm⁻³
data_Rb3NbCl
_chemical_formula_sum 'Rb3 Nb1 Cl1'
_symmetry_space_group_name_H-M 'P m -3 m'
_symmetry_Int_Tables_number 221
_symmetry_space_group_name_Hall '-P 4 2 3'
_cell_length_a 6.346
_cell_length_b 6.346
_cell_length_c 6.346
_cell_angle_alpha 90.00
_cell_angle_beta 90.00
_cell_angle_gamma 90.00
loop_
_atom_site_label
_atom_site_type_symbol
_atom_site_fract_x
_atom_site_fract_y
_atom_site_fract_z
Rb1 Rb 0.000 0.000 0.500
Nb1 Nb 0.500 0.500 0.500
Cl1 Cl 0.000 0.000 0.000

Entry 7:
# Rb2NbCl7 | Alexandria | PBE-GGA | optimized geometry
# **Total magnetization**: 0.00 μB/cell
# **Formation energy without anion corrections**: -142 kJ/mol of atoms
# **Mass density**: 2.62 g cm⁻³
data_Rb2NbCl7
_chemical_formula_sum 'Rb8 Nb4 Cl28'
_symmetry_space_group_name_H-M 'C 1 2/c 1'
_symmetry_Int_Tables_number 15
_symmetry_space_group_name_Hall '-C 2yc'
_cell_length_a 17.519
_cell_length_b 8.102
_cell_length_c 12.052
_cell_angle_alpha 90.00
_cell_angle_beta 130.60
_cell_angle_gamma 90.00
loop_
_atom_site_label
_atom_site_type_symbol
_atom_site_fract_x
_atom_site_fract_y
_atom_site_fract_z
Rb1 Rb 0.134 0.154 0.044
Nb1 Nb 0.000 0.296 0.250
Cl1 Cl 0.000 0.396 0.750
Cl2 Cl 0.089 0.036 0.259
Cl3 Cl 0.093 0.286 0.506
Cl4 Cl 0.154 0.388 0.296

Entry 8:
# Rb2Nb3Cl9 | Alexandria | PBE-GGA | optimized geometry
# **Total magnetization**: 0.00 μB/cell
# **Formation energy without anion corrections**: -145 kJ/mol of atoms
# **Mass density**: 3.06 g cm⁻³
data_Rb2Nb3Cl9
_chemical_formula_sum 'Rb8 Nb12 Cl36'
_symmetry_space_group_name_H-M 'C 1 2/m 1'
_symmetry_Int_Tables_number 12
_symmetry_space_group_name_Hall '-C 2y'
_cell_length_a 10.540
_cell_length_b 17.471
_cell_length_c 10.027
_cell_angle_alpha 90.00
_cell_angle_beta 115.53
_cell_angle_gamma 90.00
loop_
_atom_site_label
_atom_site_type_symbol
_atom_site_fract_x
_atom_site_fract_y
_atom_site_fract_z
Rb1 Rb 0.108 0.160 0.322
Nb1 Nb 0.120 0.500 0.879
Nb2 Nb 0.130 0.416 0.139
Cl1 Cl 0.000 0.301 0.000
Cl2 Cl 0.013 0.401 0.305
Cl3 Cl 0.192 0.000 0.673
Cl4 Cl 0.204 0.190 0.681
Cl5 Cl 0.207 0.100 0.979
Cl6 Cl 0.231 0.000 0.270

Entry 9:
# RbNb2Cl | Alexandria | PBE-GGA | optimized geometry
# **Total magnetization**: 6.30 μB/cell
# **Formation energy without anion corrections**: 183 kJ/mol of atoms
# **D(E_F)**: 7.180 states/eV/f.u.
# **Mass density**: 6.02 g cm⁻³
data_RbNb2Cl
_chemical_formula_sum 'Rb4 Nb8 Cl4'
_symmetry_space_group_name_H-M 'F m -3 m'
_symmetry_Int_Tables_number 225
_symmetry_space_group_name_Hall '-F 4 2 3'
_cell_length_a 6.969
_cell_length_b 6.969
_cell_length_c 6.969
_cell_angle_alpha 90.00
_cell_angle_beta 90.00
_cell_angle_gamma 90.00
loop_
_atom_site_label
_atom_site_type_symbol
_atom_site_fract_x
_atom_site_fract_y
_atom_site_fract_z
Rb1 Rb 0.000 0.000 0.000
Nb1 Nb 0.250 0.250 0.250
Cl1 Cl 0.000 0.000 0.500

Entry 10:
# RbNb6Cl15 | Alexandria | PBE-GGA | optimized geometry
# **Total magnetization**: 0.00 μB/cell
# **Formation energy without anion corrections**: -130 kJ/mol of atoms
# **Mass density**: 3.20 g cm⁻³
data_RbNb6Cl15
_chemical_formula_sum 'Rb4 Nb24 Cl60'
_symmetry_space_group_name_H-M 'P m m a'
_symmetry_Int_Tables_number 51
_symmetry_space_group_name_Hall '-P 2a 2a'
_cell_length_a 18.349
_cell_length_b 13.714
_cell_length_c 9.690
_cell_angle_alpha 90.00
_cell_angle_beta 90.00
_cell_angle_gamma 90.00
loop_
_atom_site_label
_atom_site_type_symbol
_atom_site_fract_x
_atom_site_fract_y
_atom_site_fract_z
Rb1 Rb 0.250 0.247 0.196
Nb1 Nb 0.031 0.108 0.859
Nb2 Nb 0.104 0.000 0.082
Nb3 Nb 0.169 0.392 0.685
Nb4 Nb 0.250 0.500 0.473
Nb5 Nb 0.250 0.500 0.897
Cl1 Cl 0.000 0.251 0.000
Cl2 Cl 0.062 0.500 0.687
Cl3 Cl 0.068 0.250 0.682
Cl4 Cl 0.072 0.000 0.670
Cl5 Cl 0.088 0.125 0.264
Cl6 Cl 0.154 0.376 0.432
Cl7 Cl 0.155 0.376 0.939
Cl8 Cl 0.159 0.124 0.930
Cl9 Cl 0.250 0.000 0.186
Cl10 Cl 0.250 0.248 0.676
Cl11 Cl 0.250 0.500 0.186

Entry 11:
# Rb5Nb2Cl12 | Alexandria | PBE-GGA | optimized geometry
# **Total magnetization**: 2.38 μB/cell
# **Formation energy without anion corrections**: -149 kJ/mol of atoms
# **D(E_F)**: 5.464 states/eV/f.u.
# **Mass density**: 2.48 g cm⁻³
data_Rb5Nb2Cl12
_chemical_formula_sum 'Rb10 Nb4 Cl24'
_symmetry_space_group_name_H-M 'C 1 2/m 1'
_symmetry_Int_Tables_number 12
_symmetry_space_group_name_Hall '-C 2y'
_cell_length_a 18.414
_cell_length_b 7.139
_cell_length_c 11.088
_cell_angle_alpha 90.00
_cell_angle_beta 107.66
_cell_angle_gamma 90.00
loop_
_atom_site_label
_atom_site_type_symbol
_atom_site_fract_x
_atom_site_fract_y
_atom_site_fract_z
Rb1 Rb 0.000 0.000 0.000
Rb2 Rb 0.193 0.500 0.320
Rb3 Rb 0.200 0.500 0.887
Nb1 Nb 0.000 0.289 0.500
Cl1 Cl 0.003 0.000 0.647
Cl2 Cl 0.003 0.500 0.678
Cl3 Cl 0.136 0.264 0.562
Cl4 Cl 0.152 0.247 0.087

Entry 12:
# RbNbCl5 | Alexandria | PBE-GGA | optimized geometry
# **Total magnetization**: 4.01 μB/cell
# **Formation energy without anion corrections**: -138 kJ/mol of atoms
# **D(E_F)**: 2.106 states/eV/f.u.
# **Mass density**: 2.49 g cm⁻³
data_RbNbCl5
_chemical_formula_sum 'Rb4 Nb4 Cl20'
_symmetry_space_group_name_H-M 'C 1 2/c 1'
_symmetry_Int_Tables_number 15
_symmetry_space_group_name_Hall '-C 2yc'
_cell_length_a 13.981
_cell_length_b 7.333
_cell_length_c 9.907
_cell_angle_alpha 90.00
_cell_angle_beta 111.05
_cell_angle_gamma 90.00
loop_
_atom_site_label
_atom_site_type_symbol
_atom_site_fract_x
_atom_site_fract_y
_atom_site_fract_z
Rb1 Rb 0.000 0.000 0.250
Nb1 Nb 0.000 0.500 0.000
Cl1 Cl 0.000 0.495 0.250
Cl2 Cl 0.128 0.262 0.063
Cl3 Cl 0.131 0.269 0.569

Entry 13:
# Rb2Nb3Cl10 | Alexandria | PBE-GGA | optimized geometry
# **Total magnetization**: 15.88 μB/cell
# **Formation energy without anion corrections**: -125 kJ/mol of atoms
# **D(E_F)**: 5.473 states/eV/f.u.
# **Mass density**: 3.35 g cm⁻³
data_Rb2Nb3Cl10
_chemical_formula_sum 'Rb8 Nb12 Cl40'
_symmetry_space_group_name_H-M 'C 1 2/m 1'
_symmetry_Int_Tables_number 12
_symmetry_space_group_name_Hall '-C 2y'
_cell_length_a 23.934
_cell_length_b 7.104
_cell_length_c 10.092
_cell_angle_alpha 90.00
_cell_angle_beta 111.67
_cell_angle_gamma 90.00
loop_
_atom_site_label
_atom_site_type_symbol
_atom_site_fract_x
_atom_site_fract_y
_atom_site_fract_z
Rb1 Rb 0.126 0.000 0.239
Rb2 Rb 0.228 0.000 0.851
Nb1 Nb 0.000 0.296 0.500
Nb2 Nb 0.060 0.500 0.989
Nb3 Nb 0.178 0.500 0.527
Cl1 Cl 0.000 0.225 0.000
Cl2 Cl 0.013 0.000 0.668
Cl3 Cl 0.016 0.500 0.710
Cl4 Cl 0.111 0.250 0.552
Cl5 Cl 0.120 0.500 0.254
Cl6 Cl 0.135 0.264 0.975
Cl7 Cl 0.235 0.500 0.783
Cl8 Cl 0.250 0.250 0.500

Entry 14:
# RbNbSCl2 | Alexandria | PBE-GGA | optimized geometry
# **Total magnetization**: 1.98 μB/cell
# **Formation energy without anion corrections**: 77 kJ/mol of atoms
# **D(E_F)**: 9.845 states/eV/f.u.
# **Mass density**: 2.52 g cm⁻³
data_RbNbSCl2
_chemical_formula_sum 'Rb1 Nb1 S1 Cl2'
_symmetry_space_group_name_H-M 'P 4/m m m'
_symmetry_Int_Tables_number 123
_symmetry_space_group_name_Hall '-P 4 2'
_cell_length_a 5.684
_cell_length_b 5.684
_cell_length_c 5.745
_cell_angle_alpha 90.00
_cell_angle_beta 90.00
_cell_angle_gamma 90.00
loop_
_atom_site_label
_atom_site_type_symbol
_atom_site_fract_x
_atom_site_fract_y
_atom_site_fract_z
Rb1 Rb 0.000 0.000 0.000
Nb1 Nb 0.500 0.500 0.500
S1 S 0.000 0.000 0.500
Cl1 Cl 0.000 0.500 0.000

Entry 15:
# Rb5NbS4Cl2 | Alexandria | PBE-GGA | optimized geometry
# **Total magnetization**: 0.00 μB/cell
# **Formation energy without anion corrections**: -139 kJ/mol of atoms
# **D(E_F)**: 0.000 states/eV/f.u.
# **Mass density**: 2.63 g cm⁻³
data_Rb5NbS4Cl2
_chemical_formula_sum 'Rb10 Nb2 S8 Cl4'
_symmetry_space_group_name_H-M 'A m m 2'
_symmetry_Int_Tables_number 38
_symmetry_space_group_name_Hall 'A 2 -2'
_cell_length_a 9.812
_cell_length_b 11.711
_cell_length_c 7.901
_cell_angle_alpha 90.00
_cell_angle_beta 90.00
_cell_angle_gamma 90.00
loop_
_atom_site_label
_atom_site_type_symbol
_atom_site_fract_x
_atom_site_fract_y
_atom_site_fract_z
Rb1 Rb 0.000 0.000 0.000
Rb2 Rb 0.260 0.195 0.488
Nb1 Nb 0.500 0.000 0.979
S1 S 0.309 0.000 0.149
S2 S 0.500 0.156 0.802
Cl1 Cl 0.000 0.221 0.744